# 1
This record from the Alexandria database describes a geometry-optimized Nd5In2Ag structure. The functional is PBE.

Cell lengths 6.823, 6.823, 6.823 Å; angles 116.67, 116.67, 95.87 degrees
Atoms (fractional coordinates):
Nd 0.000 0.000 0.000
Nd 0.000 0.000 0.500
Nd 0.000 0.500 0.000
Nd 0.500 0.000 0.000
Nd 0.500 0.500 0.500
In 0.000 0.500 0.500
In 0.500 0.000 0.500
Ag 0.500 0.500 0.000

Summary:
DFT formation energy in eV per formula unit: -2.1


# 2
This record from the Alexandria database describes a geometry-optimized Al3Tl structure. The functional is PBE.

Cell lengths 3.176, 3.176, 9.632 Å; angles 90.00, 90.00, 120.00 degrees
Atoms (fractional coordinates):
Al 0.000 0.000 0.000
Al 0.333 0.667 0.217
Al 0.333 0.667 0.783
Tl 0.000 0.000 0.500

Summary:
DFT formation energy in eV per formula unit: 0.9
ΔE to the lowest computed polymorph in meV per atom: 59


# 3
This record from the Alexandria database describes a geometry-optimized AcSmHo4S8 structure. The functional is PBE.

Cell lengths 8.199, 8.199, 8.199 Å; angles 59.56, 59.56, 59.56 degrees
Atoms (fractional coordinates):
Ac 0.000 0.000 0.000
Sm 0.624 0.624 0.624
Ho 0.133 0.624 0.624
Ho 0.252 0.252 0.252
Ho 0.624 0.133 0.624
Ho 0.624 0.624 0.133
S 0.377 0.377 0.860
S 0.377 0.860 0.377
S 0.383 0.383 0.383
S 0.421 0.865 0.865
S 0.860 0.377 0.377
S 0.860 0.860 0.860
S 0.865 0.421 0.865
S 0.865 0.865 0.421

Summary:
Formation energy from raw total energies in eV/atom: -1.9225


# 4
This record from the Alexandria database describes a geometry-optimized HgOsPb2 structure. The functional is PBE.

Cell lengths 7.424, 7.424, 7.424 Å; angles 155.23, 143.72, 44.43 degrees
Atoms (fractional coordinates):
Hg 0.000 0.000 0.000
Os 0.184 0.684 0.500
Pb 0.365 0.365 0.000
Pb 0.678 0.178 0.500

Summary:
DFT formation energy in eV per formula unit: 2.3


# 5
This record from the Alexandria database describes a geometry-optimized LiAcGa2Cu structure. The functional is PBE.

Cell lengths 5.913, 5.913, 5.913 Å; angles 134.57, 134.57, 66.19 degrees
Atoms (fractional coordinates):
Li 0.000 0.000 0.000
Ac 0.250 0.750 0.500
Ga 0.623 0.123 0.500
Ga 0.877 0.377 0.500
Cu 0.500 0.500 0.000

Summary:
DFT formation energy in eV per formula unit: -1.9


# 6
This record from the Alexandria database describes a geometry-optimized CaTlF2 structure. The functional is PBE.

Cell lengths 8.742, 8.742, 8.742 Å; angles 23.65, 23.65, 23.65 degrees
Atoms (fractional coordinates):
Ca 0.000 0.000 0.000
Tl 0.500 0.500 0.500
F 0.372 0.372 0.372
F 0.628 0.628 0.628

Summary:
Formation energy from raw total energies in eV/atom: -2.7584
ΔE to the lowest computed polymorph in meV per atom: 0


# 7
This record from the Alexandria database describes a geometry-optimized DyMgAgHg structure. The functional is PBE.

Cell lengths 5.000, 5.000, 5.000 Å; angles 60.00, 60.00, 60.00 degrees
Atoms (fractional coordinates):
Dy 0.000 0.000 0.000
Mg 0.500 0.500 0.500
Ag 0.250 0.250 0.250
Hg 0.750 0.750 0.750

Summary:
DFT formation energy in eV per formula unit: -1.6


# 8
This record from the Alexandria database describes a geometry-optimized Ba2HgSb structure. The functional is PBE.

Cell lengths 5.119, 6.828, 6.828 Å; angles 42.29, 90.00, 90.00 degrees
Atoms (fractional coordinates):
Ba 0.000 0.000 0.000
Ba 0.500 0.266 0.266
Hg 0.000 0.722 0.722
Sb 0.500 0.554 0.554

Summary:
Formation energy from raw total energies in eV/atom: -0.8034
ΔE to the lowest computed polymorph in meV per atom: 0


# 9
This record from the Alexandria database describes a geometry-optimized CsRb2NaSe structure. The functional is PBE.

Cell lengths 6.735, 6.735, 7.097 Å; angles 90.00, 90.00, 90.00 degrees
Atoms (fractional coordinates):
Cs 0.000 0.000 0.000
Rb 0.000 0.500 0.500
Rb 0.500 0.000 0.500
Na 0.500 0.500 0.000
Se 0.000 0.000 0.500

Summary:
Formation energy from raw total energies in eV/atom: -0.5584
ΔE to the lowest computed polymorph in meV per atom: 0


# 10
This record from the Alexandria database describes a geometry-optimized Cs2RbTeCl structure. The functional is PBE.

Cell lengths 6.482, 6.482, 6.179 Å; angles 90.00, 90.00, 90.00 degrees
Atoms (fractional coordinates):
Cs 0.000 0.500 0.000
Cs 0.500 0.000 0.000
Rb 0.000 0.000 0.500
Te 0.500 0.500 0.500
Cl 0.000 0.000 0.000

Summary:
Formation energy from raw total energies in eV/atom: -1.2455
ΔE to the lowest computed polymorph in meV per atom: 42


# 11
This record from the Alexandria database describes a geometry-optimized Ba2PtSe structure. The functional is PBE.

Cell lengths 4.654, 4.654, 6.580 Å; angles 90.00, 90.00, 90.00 degrees
Atoms (fractional coordinates):
Ba 0.000 0.000 0.000
Ba 0.500 0.500 0.500
Pt 0.000 0.000 0.500
Se 0.500 0.500 0.000

Summary:
Formation energy from raw total energies in eV/atom: -1.3248


# 12
This record from the Alexandria database describes a geometry-optimized TbGa3Ni structure. The functional is PBE.

Cell lengths 6.061, 6.061, 6.061 Å; angles 140.91, 140.91, 56.47 degrees
Atoms (fractional coordinates):
Tb 0.000 0.000 0.000
Ga 0.385 0.385 0.000
Ga 0.615 0.615 0.000
Ga 0.750 0.250 0.500
Ni 0.250 0.750 0.500

Summary:
DFT formation energy in eV per formula unit: -2.6
ΔE to the lowest computed polymorph in meV per atom: 64


Calculated final energy, -34.27, -12.66, -87.07, -16.61, -18.05, -19.14, -10.94, -11.48, -10.38, -13.89, -18.67, -22.10 eV for the cell shown (same order as the records).